1.
Compound: SnBiBAs2
Source: Alexandria
Functional: PBE
Structure: relaxed

Output
DFT formation energy	0.61	eV per atom

a = 4.7971 Å, b = 4.7971 Å, c = 4.5751 Å
α = 90.00°, β = 90.00°, γ = 90.00°
Space group P4/mmm (No. 123)
Asymmetric unit:
Sn (0.0000, 0.0000, 0.0000)
Bi (0.5000, 0.5000, 0.0000)
B (0.0000, 0.0000, 0.5000)
As (0.0000, 0.5000, 0.5000)


2.
Compound: CrIr2Br
Source: Alexandria
Functional: PBE
Structure: relaxed

Output
uncorrected formation energy	0.50	eV per atom
relative energy among the computed polymorphs	0.35	eV per formula unit

a = 8.7154 Å, b = 2.8486 Å, c = 6.3652 Å
α = 90.00°, β = 96.93°, γ = 90.00°
Space group Cm (No. 8)
Asymmetric unit:
Cr (0.0000, 0.0000, 0.0000)
Ir (0.0428, 0.5000, 0.6922)
Ir (0.2792, 0.0000, 0.8647)
Br (0.1044, 0.5000, 0.2997)


3.
Compound: Np2TlCoS4
Source: Alexandria
Functional: PBE
Structure: relaxed

Output
uncorrected formation energy	-1.03	eV per atom

a = 3.8937 Å, b = 13.7383 Å, c = 13.4048 Å
α = 90.00°, β = 90.00°, γ = 90.00°
Space group Cmcm (No. 63)
Asymmetric unit:
Np (0.0000, 0.1339, 0.0581)
Tl (0.0000, 0.3998, 0.2500)
Co (0.0000, 0.3290, 0.7500)
S (0.0000, 0.0837, 0.2500)
S (0.0000, 0.2405, 0.6111)
S (0.0000, 0.5000, 0.0000)